(1)
Here is a geometry-optimized Cr2CuPt structure from Alexandria via LeMat-Bulk. Energies are from GGA-PBEsol.

Lattice parameters (Å, degrees): 2.5599 3.8204 4.9987 90.00 90.00 90.00
Closest atoms and distances in Å follow each position.
Fractional coordinates of all 4 atoms:
Cr 0.0000 0.0000 0.2248  1 Cr 2.25
Cr 0.0000 0.0000 0.7752  1 Cr 2.25
Cu 0.5000 0.5000 0.0000  2 Pt 2.50, 8 Cr 2.56, 2 Cu 2.56
Pt 0.5000 0.5000 0.5000  2 Cu 2.50, 2 Pt 2.56, 8 Cr 2.68

**Spin magnetization**: 0.0001 μB/atom
**Formation enthalpy at 0 K**: 23 kJ/mol of formula units
**Crystal system**: orthorhombic



(2)
Here is a geometry-optimized Cs2YHgI6 structure from Alexandria via LeMat-Bulk. Energies are from GGA-PBEsol.

Lattice parameters (Å, degrees): 8.6165 8.6165 8.6165 60.00 60.00 60.00
Closest atoms and distances in Å follow each position.
Fractional coordinates of all 10 atoms:
Cs 0.2500 0.2500 0.2500  12 I 4.31
Cs 0.7500 0.7500 0.7500  12 I 4.31
Y 0.0000 0.0000 0.0000  6 I 2.98
Hg 0.5000 0.5000 0.5000  6 I 3.11
I 0.2446 0.2446 0.7554  1 Y 2.98, 1 Hg 3.11
I 0.2446 0.7554 0.2446  1 Y 2.98, 1 Hg 3.11
I 0.2446 0.7554 0.7554  1 Y 2.98, 1 Hg 3.11
I 0.7554 0.2446 0.2446  1 Y 2.98, 1 Hg 3.11
I 0.7554 0.2446 0.7554  1 Y 2.98, 1 Hg 3.11
I 0.7554 0.7554 0.2446  1 Y 2.98, 1 Hg 3.11

**Raw formation energy**: -1.16 eV/atom
**Spin magnetization**: 0.0000 μB/atom
**Crystal system**: cubic



(3)
Here is a geometry-optimized Mn2NiMo structure from Alexandria via LeMat-Bulk. Energies are from GGA-PBEsol.

Lattice parameters (Å, degrees): 4.8447 4.8447 2.5042 102.23 102.23 117.23
Closest atoms and distances in Å follow each position.
Fractional coordinates of all 4 atoms:
Mn 0.0000 0.5000 0.0000  2 Mo 2.48, 2 Ni 2.48, 6 Mn 2.50-2.74
Mn 0.5000 0.0000 0.0000  2 Mo 2.48, 2 Ni 2.48, 6 Mn 2.50-2.74
Ni 0.0000 0.0000 0.5000  4 Mn 2.48, 2 Ni 2.50, 4 Mo 2.52-2.74
Mo 0.5000 0.5000 0.5000  4 Mn 2.48, 2 Mo 2.50, 4 Ni 2.52-2.74

**Spin magnetization**: 0.7603 μB/atom
**Formation enthalpy at 0 K**: 80 kJ/mol of formula units
**Crystal system**: monoclinic



(4)
Here is a geometry-optimized Ca4Pb5 structure from Alexandria via LeMat-Bulk. Energies are from GGA-PBEsol.

Lattice parameters (Å, degrees): 9.4658 9.4658 6.7762 90.00 90.00 120.00
Closest atoms and distances in Å follow each position.
Fractional coordinates of all 18 atoms:
Ca 0.0000 0.0000 0.0000  6 Pb 3.37, 2 Ca 3.39
Ca 0.0000 0.0000 0.5000  6 Pb 3.37, 2 Ca 3.39
Ca 0.0000 0.3632 0.2500  9 Pb 3.12-3.47
Ca 0.0000 0.6368 0.7500  9 Pb 3.12-3.47
Ca 0.3632 0.0000 0.2500  9 Pb 3.12-3.47
Ca 0.3632 0.3632 0.7500  9 Pb 3.12-3.47
Ca 0.6368 0.0000 0.7500  9 Pb 3.12-3.47
Ca 0.6368 0.6368 0.2500  9 Pb 3.12-3.47
Pb 0.0000 0.3073 0.7500  7 Ca 3.12-3.43
Pb 0.0000 0.6927 0.2500  7 Ca 3.12-3.43
Pb 0.3073 0.0000 0.7500  7 Ca 3.12-3.43
Pb 0.3073 0.3073 0.2500  7 Ca 3.12-3.43
Pb 0.3333 0.6667 0.0000  8 Pb 3.39-3.70, 6 Ca 3.47
Pb 0.3333 0.6667 0.5000  8 Pb 3.39-3.70, 6 Ca 3.47
Pb 0.6667 0.3333 0.0000  8 Pb 3.39-3.70, 6 Ca 3.47
Pb 0.6667 0.3333 0.5000  8 Pb 3.39-3.70, 6 Ca 3.47
Pb 0.6927 0.0000 0.2500  7 Ca 3.12-3.43
Pb 0.6927 0.6927 0.7500  7 Ca 3.12-3.43

**Spin magnetization**: 0.0000 μB/atom
**Formation enthalpy at 0 K**: -379 kJ/mol of formula units
**Crystal system**: hexagonal



(5)
Here is a geometry-optimized Rh2C structure from Alexandria via LeMat-Bulk. Energies are from GGA-PBEsol.

Lattice parameters (Å, degrees): 4.7132 4.7160 3.0793 90.00 90.00 90.00
Closest atoms and distances in Å follow each position.
Fractional coordinates of all 6 atoms:
Rh 0.2408 0.1564 0.0000  3 C 2.03-2.05
Rh 0.2592 0.6564 0.5000  3 C 2.03-2.05
Rh 0.7408 0.3436 0.5000  3 C 2.03-2.05
Rh 0.7592 0.8436 0.0000  3 C 2.03-2.05
C 0.0000 0.0000 0.5000  6 Rh 2.03-2.05
C 0.5000 0.5000 0.0000  6 Rh 2.03-2.05

**Spin magnetization**: 0.0000 μB/atom
**Formation enthalpy at 0 K**: 32 kJ/mol of formula units
**Crystal system**: orthorhombic



(6)
Here is a geometry-optimized Ti2Ga2Pt structure from Alexandria via LeMat-Bulk. Energies are from GGA-PBEsol.

Lattice parameters (Å, degrees): 6.3520 6.3520 3.8210 90.00 90.00 90.00
Closest atoms and distances in Å follow each position.
Fractional coordinates of all 10 atoms:
Ti 0.1673 0.3327 0.0000  6 Ga 2.60-2.72
Ti 0.3327 0.8327 0.0000  6 Ga 2.60-2.72
Ti 0.6673 0.1673 0.0000  6 Ga 2.60-2.72
Ti 0.8327 0.6673 0.0000  6 Ga 2.60-2.72
Ga 0.1356 0.6356 0.5000  1 Ga 2.44, 2 Pt 2.47, 6 Ti 2.60-2.72
Ga 0.3644 0.1356 0.5000  1 Ga 2.44, 2 Pt 2.47, 6 Ti 2.60-2.72
Ga 0.6356 0.8644 0.5000  1 Ga 2.44, 2 Pt 2.47, 6 Ti 2.60-2.72
Ga 0.8644 0.3644 0.5000  1 Ga 2.44, 2 Pt 2.47, 6 Ti 2.60-2.72
Pt 0.0000 0.0000 0.5000  4 Ga 2.47
Pt 0.5000 0.5000 0.5000  4 Ga 2.47

**Spin magnetization**: 0.0001 μB/atom
**Formation enthalpy at 0 K**: -325 kJ/mol of formula units
**Crystal system**: tetragonal



(7)
Here is a geometry-optimized Ba2SeBr structure from Alexandria via LeMat-Bulk. Energies are from GGA-PBEsol.

Lattice parameters (Å, degrees): 8.9440 8.9440 8.9440 131.45 131.45 71.10
Closest atoms and distances in Å follow each position.
Fractional coordinates of all 8 atoms:
Ba 0.1064 0.6250 0.9814  2 Se 3.10, 2 Br 3.25
Ba 0.3750 0.3564 0.4814  2 Se 3.10, 2 Br 3.25
Ba 0.6436 0.1250 0.0186  2 Se 3.10, 2 Br 3.25
Ba 0.8750 0.8936 0.5186  2 Se 3.10, 2 Br 3.25
Se 0.0000 0.0000 0.0000  4 Ba 3.10
Se 0.7500 0.2500 0.5000  4 Ba 3.10
Br 0.2500 0.7500 0.5000  4 Ba 3.25
Br 0.5000 0.5000 0.0000  4 Ba 3.25

**Raw formation energy**: -1.55 eV/atom
**Spin magnetization**: 0.2140 μB/atom
**Crystal system**: tetragonal



(8)
Here is a geometry-optimized SrZn2Sb structure from Alexandria via LeMat-Bulk. Energies are from GGA-PBEsol.

Lattice parameters (Å, degrees): 6.3965 6.3965 6.3965 141.86 141.69 55.17
Closest atoms and distances in Å follow each position.
Fractional coordinates of all 4 atoms:
Sr 0.0000 0.0000 0.0000  6 Zn 3.19-3.37, 2 Sb 3.35
Zn 0.6056 0.6056 0.0000  2 Zn 2.54, 2 Sb 2.80
Zn 0.7322 0.2322 0.5000  2 Zn 2.54
Sb 0.2692 0.7692 0.5000  6 Zn 2.80-2.99

**Raw formation energy**: -0.24 eV/atom
**Spin magnetization**: 0.0000 μB/atom
**Crystal system**: orthorhombic



The following final energy values (in eV for the cell shown) correspond, in order, to the records above: -31.543; -31.436; -36.620; -64.902; -51.177; -67.306; -32.450; -10.533.